A plane-wave DFT calculation with PBE with a Hubbard U was carried out for a relaxed Nd2CrAgO6 crystal.

The structure belongs to space group P4mm (No. 99); the cell edges are 5.392, 5.392 and 5.125 Å and the angles 90.00°, 90.00° and 90.00°. The distinct sites, in fractional coordinates, are Nd at (0.000, 0.500, 0.000), Cr at (0.000, 0.000, 0.604), Ag at (0.500, 0.500, 0.517), O at (0.000, 0.000, 0.266), O at (0.225, 0.225, 0.737) and O at (0.500, 0.500, 0.101).

Its crystal system is tetragonal. Its total energy is -69.90 eV per formula unit.